La5PrTl3 | PBE-GGA | optimized geometry

Cell and atoms, written as POSCAR:
```
La5PrTl3
1.0
9.798 0.000 0.000
-4.899 8.485 0.000
0.000 0.000 7.085
La Pr Tl
10 2 6
Direct
0.000 0.336 0.250
0.000 0.664 0.750
0.333 0.667 0.000
0.333 0.667 0.500
0.336 0.000 0.250
0.336 0.336 0.750
0.664 0.000 0.750
0.664 0.664 0.250
0.667 0.333 0.000
0.667 0.333 0.500
0.000 0.000 0.000
0.000 0.000 0.500
0.000 0.330 0.750
0.000 0.670 0.250
0.330 0.000 0.750
0.330 0.330 0.250
0.670 0.000 0.250
0.670 0.670 0.750
```

## Properties
- raw total energy (eV/atom) = -4.35
- DOS at the Fermi energy (states/eV/atom) = 1.404